## Ho3Ga3Hg2 (GGA-PBE)

Data for an optimized crystal structure of Ho3Ga3Hg2.

Values from the calculation:
formation enthalpy at 0 K	-0.519	eV per atom
space-group type	No. 63

abc: 5.962 5.962 14.600
angles: 90.00 90.00 136.03
Atoms (fractional coordinates):
Ho 0.075 0.925 0.615
Ho 0.075 0.925 0.885
Ho 0.349 0.651 0.750
Ho 0.651 0.349 0.250
Ho 0.925 0.075 0.115
Ho 0.925 0.075 0.385
Ga 0.373 0.627 0.250
Ga 0.402 0.598 0.546
Ga 0.402 0.598 0.954
Ga 0.598 0.402 0.046
Ga 0.598 0.402 0.454
Ga 0.627 0.373 0.750
Hg 0.217 0.783 0.098
Hg 0.217 0.783 0.402
Hg 0.783 0.217 0.598
Hg 0.783 0.217 0.902